Density functional theory data (PBE with a Hubbard U) for TaMnF3 after structural relaxation.

Unit cell a=4.245 b=4.245 c=4.245 alpha=90.00 beta=90.00 gamma=90.00
Space group Pm-3m (No. 221)
One atom of each set of equivalent atoms:
Ta 0.000 0.000 0.000 (multiplicity 1)
Mn 0.500 0.500 0.500 (multiplicity 1)
F 0.000 0.500 0.500 (multiplicity 3)

Summary:
Final energy, eV per atom: -5.893
Excess energy over the best structure of this formula in the dataset, meV/atom: 382